No. 1
The following is a PBE-GGA calculation of a relaxed structure of HfAlV2, from Alexandria via LeMat-Bulk.

Cell: 4.131 3.964 3.964 Å, 90.00 90.00 90.00°
Each line ends with the local moment (μB).
Fractional positions:
1 V 0.000 0.000 0.500  0.56
2 Hf 0.500 0.000 0.000  0.06
3 Al 0.500 0.500 0.500  -0.01
4 V 0.000 0.500 0.000  0.56

Results
Space-group type: No. 123
E_form: -0.03 eV per atom

No. 2
The following is a PBE-GGA calculation of a relaxed structure of HfAl6V4, from Alexandria via LeMat-Bulk.

Cell: 6.565 6.565 6.565 Å, 90.04 119.98 119.98°
Fractional positions:
1 Al 0.500 0.500 0.000
2 Al 0.613 0.090 0.090
3 V 0.297 0.711 0.711
4 Hf 0.000 0.000 0.000
5 V 0.000 0.586 0.289
6 Al 0.387 0.477 0.477
7 V 0.000 0.289 0.586
8 Al 0.500 0.000 0.500
9 Al 0.000 0.523 0.910
10 V 0.703 0.414 0.414
11 Al 0.000 0.910 0.523

Results
Space-group type: No. 121
E_form: 0.18 eV per atom

No. 3
The following is a PBE-GGA calculation of a relaxed structure of HfAlV4, from Alexandria via LeMat-Bulk.

Cell: 5.086 5.086 5.086 Å, 60.00 60.00 60.00°
Fractional positions:
1 V 0.623 0.132 0.623
2 Hf 0.250 0.250 0.250
3 V 0.132 0.623 0.623
4 V 0.623 0.623 0.132
5 Al 0.000 0.000 0.000
6 V 0.623 0.623 0.623

Results
Space-group type: No. 216
E_form: -0.01 eV per atom

| no. | calculated volume (Å³ per atom) |
| --- | --- |
| 1 | 16.23 |
| 2 | 18.20 |
| 3 | 15.51 |